A plane-wave DFT calculation with PBE was carried out for TlTeAuO after structural relaxation.

Output
Relative energy among the computed polymorphs: 2.76 kcal/mol of atoms

abc: 4.305 7.056 6.665
angles: 90.00 90.00 90.00
Sites, in units of the cell vectors:
Tl 0.000 0.134 0.000
Tl 0.000 0.866 0.500
Te 0.500 0.329 0.206
Te 0.500 0.671 0.706
Au 0.500 0.304 0.612
Au 0.500 0.696 0.112
O 0.000 0.142 0.670
O 0.000 0.858 0.170



A plane-wave DFT calculation with PBE was carried out for Ta4Nb2P3C3 after structural relaxation.

Output
Energy: -10.046 eV per atom

abc: 5.710 5.710 12.066
angles: 103.69 103.69 60.04
Sites, in units of the cell vectors:
Ta 0.030 0.203 0.100
Ta 0.137 0.300 0.400
Ta 0.203 0.030 0.600
Ta 0.300 0.137 0.900
Ta 0.700 0.863 0.100
Ta 0.797 0.970 0.400
Ta 0.863 0.700 0.600
Ta 0.970 0.797 0.900
Nb 0.370 0.534 0.100
Nb 0.466 0.630 0.400
Nb 0.534 0.370 0.600
Nb 0.630 0.466 0.900
P 0.083 0.917 0.250
P 0.250 0.416 0.749
P 0.416 0.250 0.249
P 0.584 0.750 0.751
P 0.750 0.584 0.251
P 0.917 0.083 0.750
C 0.000 0.500 0.000
C 0.158 0.671 0.500
C 0.329 0.842 0.000
C 0.500 0.000 0.500
C 0.671 0.158 0.000
C 0.842 0.329 0.500



A plane-wave DFT calculation with PBE was carried out for SrLiCoMo after structural relaxation.

Output
Relative energy among the computed polymorphs: 0.00 kcal/mol of atoms

abc: 4.590 4.590 4.590
angles: 60.00 60.00 60.00
Sites, in units of the cell vectors:
Sr 0.000 0.000 0.000
Li 0.750 0.750 0.750
Co 0.500 0.500 0.500
Mo 0.250 0.250 0.250



A plane-wave DFT calculation with PBE was carried out for BeCo2Tc after structural relaxation.

Output
Relative energy among the computed polymorphs: 1.10 kcal/mol of atoms

abc: 2.748 4.057 4.051
angles: 90.00 90.00 90.00
Sites, in units of the cell vectors:
Be 0.000 0.000 0.000
Co 0.500 0.000 0.498
Co 0.500 0.500 0.005
Tc 0.000 0.500 0.505



A plane-wave DFT calculation with PBE was carried out for CuNiAgB after structural relaxation.

Output
Relative energy among the computed polymorphs: 0.73 kcal/mol of atoms

abc: 4.043 4.043 4.043
angles: 60.00 60.00 60.00
Sites, in units of the cell vectors:
Cu 0.000 0.000 0.000
Ni 0.250 0.250 0.250
Ag 0.500 0.500 0.500
B 0.750 0.750 0.750



A plane-wave DFT calculation with PBE was carried out for TbThRe after structural relaxation.

Output
Formation energy: 0.12 eV per atom
Relative energy among the computed polymorphs: 0.00 kcal/mol of atoms

abc: 4.889 4.889 4.889
angles: 60.00 60.00 60.00
Sites, in units of the cell vectors:
Tb 0.000 0.000 0.000
Th 0.500 0.500 0.500
Re 0.750 0.750 0.750



A plane-wave DFT calculation with PBE was carried out for Sr4Pa4O11 after structural relaxation.

Output
Energy: -7.957 eV per atom

abc: 6.102 8.794 6.250
angles: 90.00 90.02 90.00
Sites, in units of the cell vectors:
Sr 0.000 0.000 0.000
Sr 0.016 0.500 0.069
Sr 0.481 0.500 0.590
Sr 0.523 0.000 0.500
Pa 0.011 0.246 0.543
Pa 0.011 0.754 0.543
Pa 0.511 0.250 0.045
Pa 0.511 0.750 0.045
O 0.130 0.000 0.601
O 0.206 0.306 0.845
O 0.206 0.694 0.845
O 0.311 0.310 0.347
O 0.311 0.690 0.347
O 0.399 0.000 0.097
O 0.615 0.500 0.990
O 0.709 0.186 0.743
O 0.709 0.814 0.743
O 0.817 0.188 0.243
O 0.817 0.812 0.243



A plane-wave DFT calculation with PBE was carried out for SmAlGe after structural relaxation.

Output
Energy: -4.941 eV per atom

abc: 7.243 7.243 4.258
angles: 90.00 90.00 120.00
Sites, in units of the cell vectors:
Sm 0.000 0.390 0.000
Sm 0.390 0.000 0.000
Sm 0.610 0.610 0.000
Al 0.000 0.745 0.500
Al 0.255 0.255 0.500
Al 0.745 0.000 0.500
Ge 0.000 0.000 0.000
Ge 0.333 0.667 0.500
Ge 0.667 0.333 0.500



A plane-wave DFT calculation with PBE was carried out for Ho5AlZn4 after structural relaxation.

Output
Energy: -3.532 eV per atom

abc: 3.545 3.545 17.864
angles: 90.00 90.00 90.00
Sites, in units of the cell vectors:
Ho 0.000 0.000 0.000
Ho 0.000 0.000 0.199
Ho 0.000 0.000 0.396
Ho 0.000 0.000 0.604
Ho 0.000 0.000 0.801
Al 0.500 0.500 0.500
Zn 0.500 0.500 0.100
Zn 0.500 0.500 0.298
Zn 0.500 0.500 0.702
Zn 0.500 0.500 0.900



A plane-wave DFT calculation with PBE was carried out for PuNpN after structural relaxation.

Output
Energy: -12.749 eV per atom

abc: 5.386 5.386 5.088
angles: 90.00 90.00 144.39
Sites, in units of the cell vectors:
Pu 0.010 0.990 0.750
Pu 0.990 0.010 0.250
Np 0.342 0.658 0.750
Np 0.658 0.342 0.250
N 0.321 0.679 0.250
N 0.679 0.321 0.750



A plane-wave DFT calculation with PBE was carried out for MgTaSn after structural relaxation.

Output
Energy: -5.097 eV per atom

abc: 4.713 4.713 4.713
angles: 60.00 60.00 60.00
Sites, in units of the cell vectors:
Mg 0.000 0.000 0.000
Ta 0.250 0.250 0.250
Sn 0.500 0.500 0.500



A plane-wave DFT calculation with PBE was carried out for PmGdSb2 after structural relaxation.

Output
Energy: -5.584 eV per atom

abc: 4.453 4.453 6.297
angles: 90.00 90.00 90.00
Sites, in units of the cell vectors:
Pm 0.000 0.000 0.000
Gd 0.500 0.500 0.500
Sb 0.000 0.000 0.500
Sb 0.500 0.500 0.000



> What is the formula in the fifth record?

CuNiAgB



What did the tenth record say?
A plane-wave DFT calculation with PBE was carried out for PuNpN after structural relaxation.

Output
Energy: -12.749 eV per atom

abc: 5.386 5.386 5.088
angles: 90.00 90.00 144.39
Sites, in units of the cell vectors:
Pu 0.010 0.990 0.750
Pu 0.990 0.010 0.250
Np 0.342 0.658 0.750
Np 0.658 0.342 0.250
N 0.321 0.679 0.250
N 0.679 0.321 0.750